No. 1
This record from Alexandria via LeMat-Bulk describes a geometry-optimized VN structure. The functional is GGA-PBE.

Calculated values
- Formation energy from raw total energies: -2.34 eV/f.u.
- VASP energy: -9.89 eV per atom
- Crystal system: hexagonal
- Density of states at the Fermi level: 0.3 states/eV/f.u.
- Space-group type: P-6m2, No. 187

```
VN
1.0
-0.7636 -2.2813 -2.9636
1.9474 0.1973 -1.9251
2.6488 -0.1520 0.7061
V N
1 1
direct
0.4386 0.7374 0.0909
0.9386 0.5707 0.9242
```



No. 2
This record from Alexandria via LeMat-Bulk describes a geometry-optimized LiZrPb structure. The functional is GGA-PBE.

Calculated values
- VASP energy: -4.67 eV per atom
- Crystal system: orthorhombic
- Density of states at the Fermi level: 3.1 states/eV/f.u.
- Energy relative to the elements: 0.0533 eV/atom
- Space-group type: Fmm2, No. 42

```
LiZrPb
1.0
8.0233 0.0129 -0.0089
7.1519 3.0675 0.0477
0.8714 -1.0523 2.8682
Zr Pb Li
1 1 1
direct
0.6681 0.6681 0.3319
0.3376 0.3376 0.6624
0.9943 0.9943 0.0057
```